! TbTh2Ga (PBE, optimized geometry); values from VASP
! - ΔE_f (kJ/mol of formula units) = -46
&SYSTEM
  ibrav = 0, nat = 4, ntyp = 3
/
ATOMIC_SPECIES
Tb 158.93 Tb.upf
Th 232.04 Th.upf
Ga 69.72 Ga.upf
ATOMIC_POSITIONS crystal
Tb 0.5000 0.5000 0.5000
Th 0.0000 0.0000 0.7860
Ga 0.5000 0.5000 0.0000
Th 0.0000 0.0000 0.2140
CELL_PARAMETERS angstrom
4.0046 0.0000 0.0000
0.0000 4.0046 0.0000
0.0000 0.0000 7.1318

=====

! LiTaRu (PBE, optimized geometry); values from VASP
! - ΔE_f (kJ/mol of formula units) = 54
&SYSTEM
  ibrav = 0, nat = 3, ntyp = 3
/
ATOMIC_SPECIES
Ta 180.95 Ta.upf
Li 6.94 Li.upf
Ru 101.07 Ru.upf
ATOMIC_POSITIONS crystal
Ta 0.3227 0.3227 0.6773
Li 0.0089 0.0089 0.9911
Ru 0.6684 0.6684 0.3316
CELL_PARAMETERS angstrom
-0.3093 -0.9903 7.1431
-1.7813 -3.0737 6.0325
2.5697 -0.7416 0.7665

=====

! AlCd2Tc (PBE, optimized geometry); values from VASP
! - ΔE_f (kJ/mol of formula units) = 80
&SYSTEM
  ibrav = 0, nat = 4, ntyp = 3
/
ATOMIC_SPECIES
Cd 112.41 Cd.upf
Tc 98.00 Tc.upf
Al 26.98 Al.upf
ATOMIC_POSITIONS crystal
Cd 0.0000 0.0000 0.0000
Cd 0.5000 0.5000 0.0000
Tc 0.5000 0.5000 0.5000
Al 0.0000 0.0000 0.5000
CELL_PARAMETERS angstrom
-0.6294 -2.5334 1.3011
3.7289 -2.1219 -2.3279
5.4233 -0.2036 2.2270